1.
Density functional theory data (PBE-GGA) for a geometry-optimized TbPrHoCd structure.

- space group = F-43m (216)
- distance to the lowest polymorph of the same formula (meV/atom) = 118.4
- final energy (eV per atom) = -3.758
- volume (Å³ per cell) = 118.85

```
TbPrHoCd
1.0
0.000 3.902 3.902
3.902 0.000 3.902
3.902 3.902 0.000
Tb Pr Ho Cd
1 1 1 1
direct
0.000 0.000 0.000
0.500 0.500 0.500
0.750 0.750 0.750
0.250 0.250 0.250
```

2.
Density functional theory data (PBE-GGA) for a geometry-optimized TbPrHoCd structure.

- space group = P4mm (99)
- distance to the lowest polymorph of the same formula (meV/atom) = 0.0
- final energy (eV per atom) = -3.876
- volume (Å³ per cell) = 120.13

```
TbPrHoCd
1.0
3.651 0.000 0.000
0.000 3.651 0.000
0.000 0.000 9.013
Tb Pr Ho Cd
1 1 1 1
direct
0.000 0.000 0.000
0.500 0.500 0.282
0.000 0.000 0.561
0.500 0.500 0.777
```

3.
Density functional theory data (PBE-GGA) for a geometry-optimized PrHoTlCd structure.

- space group = F-43m (216)
- final energy (eV per atom) = -3.499
- volume (Å³ per cell) = 113.04

```
PrHoTlCd
1.0
0.000 3.838 3.838
3.838 0.000 3.838
3.838 3.838 0.000
Pr Ho Tl Cd
1 1 1 1
direct
0.000 0.000 0.000
0.500 0.500 0.500
0.750 0.750 0.750
0.250 0.250 0.250
```

Total moment list, top to bottom, in μB/atom: 0.000 0.000 0.000